7
Lattice="3.9484 0.0000 0.0000 0.0000 3.9484 0.0000 0.0000 0.0000 3.9484" Properties=species:S:1:pos:R:3 comment="Cr3C4, optimized geometry, DFT PBEsol" spacegroup=Pm-3m e_form_ev_per_atom=0.56 n_ef_per_ev_fu=4.98 pbc="T T T"
C 1.9742 1.9742 0.0000
Cr 0.0000 1.9742 0.0000
Cr 1.9742 0.0000 0.0000
C 0.0000 1.9742 1.9742
Cr 0.0000 0.0000 1.9742
C 0.0000 0.0000 0.0000
C 1.9742 0.0000 1.9742